(1)
# NiAgWC2, optimized geometry, DFT GGA-PBE
# - energy of formation (kJ/mol of atoms) = 284.9
data_NiAgWC2
_chemical_formula_sum 'Ni1 Ag1 W1 C2'
_cell_length_a 3.9245
_cell_length_b 3.9245
_cell_length_c 4.5657
_cell_angle_alpha 90.00
_cell_angle_beta 90.00
_cell_angle_gamma 90.00
_space_group_name_H-M_alt 'P 1'
_space_group_IT_number 1
_space_group_name_Hall 'P 1'
loop_
_atom_site_label
_atom_site_type_symbol
_atom_site_fract_x
_atom_site_fract_y
_atom_site_fract_z
Ni1 Ni 0.0000 0.0000 0.0000
Ag1 Ag 0.0000 0.0000 0.5000
W1 W 0.5000 0.5000 0.0000
C1 C 0.0000 0.5000 0.5000
C2 C 0.5000 0.0000 0.5000

***

(2)
# LiCa2MgIr, optimized geometry, DFT GGA-PBE
# - energy of formation (kJ/mol of atoms) = -10.9
data_LiCa2MgIr
_chemical_formula_sum 'Li1 Ca2 Mg1 Ir1'
_cell_length_a 5.4797
_cell_length_b 5.4797
_cell_length_c 5.1284
_cell_angle_alpha 90.00
_cell_angle_beta 90.00
_cell_angle_gamma 90.00
_space_group_name_H-M_alt 'P 1'
_space_group_IT_number 1
_space_group_name_Hall 'P 1'
loop_
_atom_site_label
_atom_site_type_symbol
_atom_site_fract_x
_atom_site_fract_y
_atom_site_fract_z
Li1 Li 0.0000 0.0000 0.0000
Ca1 Ca 0.0000 0.5000 0.5000
Ca2 Ca 0.5000 0.0000 0.5000
Mg1 Mg 0.5000 0.5000 0.0000
Ir1 Ir 0.5000 0.5000 0.5000

***

(3)
# Y2WSe, optimized geometry, DFT GGA-PBE
# - ΔE_f (raw) (kcal/mol of atoms) = 7.36
data_Y2WSe
_chemical_formula_sum 'Y4 W2 Se2'
_cell_length_a 6.3982
_cell_length_b 6.3982
_cell_length_c 6.3982
_cell_angle_alpha 105.24
_cell_angle_beta 105.24
_cell_angle_gamma 118.32
_space_group_name_H-M_alt 'P 1'
_space_group_IT_number 1
_space_group_name_Hall 'P 1'
loop_
_atom_site_label
_atom_site_type_symbol
_atom_site_fract_x
_atom_site_fract_y
_atom_site_fract_z
Y1 Y 0.1097 0.6250 0.9847
Y2 Y 0.3750 0.3597 0.4847
Y3 Y 0.6403 0.1250 0.0153
Y4 Y 0.8750 0.8903 0.5153
W1 W 0.2500 0.7500 0.5000
W2 W 0.5000 0.5000 0.0000
Se1 Se 0.0000 0.0000 0.0000
Se2 Se 0.7500 0.2500 0.5000

***

(4)
# AlZnOs2, optimized geometry, DFT GGA-PBE
# - energy of formation (kJ/mol of atoms) = 2.4
data_AlZnOs2
_chemical_formula_sum 'Al1 Zn1 Os2'
_cell_length_a 8.6713
_cell_length_b 8.6713
_cell_length_c 8.6713
_cell_angle_alpha 18.46
_cell_angle_beta 18.46
_cell_angle_gamma 18.46
_space_group_name_H-M_alt 'P 1'
_space_group_IT_number 1
_space_group_name_Hall 'P 1'
loop_
_atom_site_label
_atom_site_type_symbol
_atom_site_fract_x
_atom_site_fract_y
_atom_site_fract_z
Al1 Al 0.0000 0.0000 0.0000
Zn1 Zn 0.5000 0.5000 0.5000
Os1 Os 0.2524 0.2524 0.2524
Os2 Os 0.7476 0.7476 0.7476

***

(5)
# Tc4Mo9Rh11, optimized geometry, DFT GGA-PBE
# - energy of formation (kJ/mol of atoms) = -7.1
data_Tc4Mo9Rh11
_chemical_formula_sum 'Tc4 Mo9 Rh11'
_cell_length_a 12.1042
_cell_length_b 12.1042
_cell_length_c 2.7358
_cell_angle_alpha 90.00
_cell_angle_beta 90.00
_cell_angle_gamma 116.62
_space_group_name_H-M_alt 'P 1'
_space_group_IT_number 1
_space_group_name_Hall 'P 1'
loop_
_atom_site_label
_atom_site_type_symbol
_atom_site_fract_x
_atom_site_fract_y
_atom_site_fract_z
Tc1 Tc 0.0855 0.2674 0.0000
Tc2 Tc 0.2674 0.0855 0.0000
Tc3 Tc 0.7326 0.9145 0.0000
Tc4 Tc 0.9145 0.7326 0.0000
Mo1 Mo 0.0000 0.0000 0.0000
Mo2 Mo 0.1080 0.6780 0.0000
Mo3 Mo 0.2957 0.4858 0.0000
Mo4 Mo 0.3220 0.8920 0.0000
Mo5 Mo 0.4858 0.2957 0.0000
Mo6 Mo 0.5142 0.7043 0.0000
Mo7 Mo 0.6780 0.1080 0.0000
Mo8 Mo 0.7043 0.5142 0.0000
Mo9 Mo 0.8920 0.3220 0.0000
Rh1 Rh 0.0968 0.4690 0.5000
Rh2 Rh 0.1182 0.8818 0.5000
Rh3 Rh 0.2836 0.2836 0.5000
Rh4 Rh 0.3107 0.6893 0.5000
Rh5 Rh 0.4690 0.0968 0.5000
Rh6 Rh 0.5000 0.5000 0.5000
Rh7 Rh 0.5310 0.9032 0.5000
Rh8 Rh 0.6893 0.3107 0.5000
Rh9 Rh 0.7164 0.7164 0.5000
Rh10 Rh 0.8818 0.1182 0.5000
Rh11 Rh 0.9032 0.5310 0.5000

***

(6)
# RbGaBi, optimized geometry, DFT GGA-PBE
# - energy of formation (kJ/mol of atoms) = -15.5
data_RbGaBi
_chemical_formula_sum 'Rb1 Ga1 Bi1'
_cell_length_a 4.9899
_cell_length_b 4.9899
_cell_length_c 5.6746
_cell_angle_alpha 90.00
_cell_angle_beta 90.00
_cell_angle_gamma 120.00
_space_group_name_H-M_alt 'P 1'
_space_group_IT_number 1
_space_group_name_Hall 'P 1'
loop_
_atom_site_label
_atom_site_type_symbol
_atom_site_fract_x
_atom_site_fract_y
_atom_site_fract_z
Rb1 Rb 0.0000 0.0000 0.0000
Ga1 Ga 0.6667 0.3333 0.5011
Bi1 Bi 0.3333 0.6667 0.5001

***

(7)
# YRh2Pb, optimized geometry, DFT GGA-PBE
# - energy of formation (kJ/mol of atoms) = -44.7
data_YRh2Pb
_chemical_formula_sum 'Y1 Rh2 Pb1'
_cell_length_a 5.5471
_cell_length_b 5.5471
_cell_length_c 5.5471
_cell_angle_alpha 137.42
_cell_angle_beta 137.42
_cell_angle_gamma 61.79
_space_group_name_H-M_alt 'P 1'
_space_group_IT_number 1
_space_group_name_Hall 'P 1'
loop_
_atom_site_label
_atom_site_type_symbol
_atom_site_fract_x
_atom_site_fract_y
_atom_site_fract_z
Y1 Y 0.0000 0.0000 0.0000
Rh1 Rh 0.5000 0.5000 0.0000
Rh2 Rh 0.7500 0.2500 0.5000
Pb1 Pb 0.2500 0.7500 0.5000

***

(8)
# La3IrPb, optimized geometry, DFT GGA-PBE
# - energy of formation (kJ/mol of atoms) = -48.7
# - E above lowest polymorph (eV/atom) = 0.182
data_La3IrPb
_chemical_formula_sum 'La12 Ir4 Pb4'
_cell_length_a 9.7929
_cell_length_b 9.7929
_cell_length_c 6.7286
_cell_angle_alpha 96.31
_cell_angle_beta 96.31
_cell_angle_gamma 98.12
_space_group_name_H-M_alt 'P 1'
_space_group_IT_number 1
_space_group_name_Hall 'P 1'
loop_
_atom_site_label
_atom_site_type_symbol
_atom_site_fract_x
_atom_site_fract_y
_atom_site_fract_z
La1 La 0.0326 0.1729 0.0010
La2 La 0.1729 0.0326 0.5010
La3 La 0.1760 0.5709 0.8832
La4 La 0.2802 0.4566 0.3734
La5 La 0.4291 0.8240 0.6168
La6 La 0.4566 0.2802 0.8734
La7 La 0.5434 0.7198 0.1266
La8 La 0.5709 0.1760 0.3832
La9 La 0.7198 0.5434 0.6266
La10 La 0.8240 0.4291 0.1168
La11 La 0.8271 0.9674 0.4990
La12 La 0.9674 0.8271 0.9990
Ir1 Ir 0.2542 0.7458 0.2500
Ir2 Ir 0.4385 0.5615 0.7500
Ir3 Ir 0.5615 0.4385 0.2500
Ir4 Ir 0.7458 0.2542 0.7500
Pb1 Pb 0.0172 0.7048 0.4725
Pb2 Pb 0.2952 0.9828 0.0275
Pb3 Pb 0.7048 0.0172 0.9725
Pb4 Pb 0.9828 0.2952 0.5275